# 1
This record from the Alexandria database describes MnZn2CoI after structural relaxation. The functional is GGA-PBE.

```
data_MnZn2CoI
_chemical_formula_sum 'Mn1 Zn2 Co1 I1'
_cell_length_a 4.6088
_cell_length_b 5.1492
_cell_length_c 4.6088
_cell_angle_alpha 90.00
_cell_angle_beta 90.00
_cell_angle_gamma 90.00
_space_group_name_H-M_alt 'P 1'
_space_group_IT_number 1
loop_
_space_group_symop_operation_xyz
'x,y,z'
loop_
_atom_site_label
_atom_site_type_symbol
_atom_site_fract_x
_atom_site_fract_y
_atom_site_fract_z
Co1 Co 0.0000 0.0000 0.0000
Mn1 Mn 0.5000 0.5000 0.5000
Zn1 Zn 0.0000 0.0000 0.5000
Zn2 Zn 0.5000 0.0000 0.0000
I1 I 0.0000 0.5000 0.0000
```

=====

# 2
This record from the Alexandria database describes Mn2ZnCoI after structural relaxation. The functional is GGA-PBE.

```
data_Mn2ZnCoI
_chemical_formula_sum 'Mn2 Zn1 Co1 I1'
_cell_length_a 4.7072
_cell_length_b 5.5956
_cell_length_c 4.7072
_cell_angle_alpha 90.00
_cell_angle_beta 90.00
_cell_angle_gamma 90.00
_space_group_name_H-M_alt 'P 1'
_space_group_IT_number 1
loop_
_space_group_symop_operation_xyz
'x,y,z'
loop_
_atom_site_label
_atom_site_type_symbol
_atom_site_fract_x
_atom_site_fract_y
_atom_site_fract_z
Zn1 Zn 0.0000 0.0000 0.0000
Mn1 Mn 0.5000 0.0000 0.0000
Mn2 Mn 0.0000 0.0000 0.5000
I1 I 0.0000 0.5000 0.0000
Co1 Co 0.5000 0.5000 0.5000
```

=====

# 3
This record from the Alexandria database describes ZrMnCoI2 after structural relaxation. The functional is GGA-PBE.

```
data_ZrMnCoI2
_chemical_formula_sum 'Zr1 Mn1 Co1 I2'
_cell_length_a 5.7548
_cell_length_b 4.6553
_cell_length_c 5.7548
_cell_angle_alpha 90.00
_cell_angle_beta 90.00
_cell_angle_gamma 90.00
_space_group_name_H-M_alt 'P 1'
_space_group_IT_number 1
loop_
_space_group_symop_operation_xyz
'x,y,z'
loop_
_atom_site_label
_atom_site_type_symbol
_atom_site_fract_x
_atom_site_fract_y
_atom_site_fract_z
I1 I 0.5000 0.0000 0.0000
I2 I 0.0000 0.0000 0.5000
Co1 Co 0.0000 0.5000 0.0000
Mn1 Mn 0.5000 0.5000 0.5000
Zr1 Zr 0.0000 0.0000 0.0000
```

=====

# 4
This record from the Alexandria database describes CoMoI2 after structural relaxation. The functional is GGA-PBE.

```
data_CoMoI2
_chemical_formula_sum 'Co1 Mo1 I2'
_cell_length_a 4.7912
_cell_length_b 4.7912
_cell_length_c 4.7912
_cell_angle_alpha 60.00
_cell_angle_beta 60.00
_cell_angle_gamma 60.00
_space_group_name_H-M_alt 'P 1'
_space_group_IT_number 1
loop_
_space_group_symop_operation_xyz
'x,y,z'
loop_
_atom_site_label
_atom_site_type_symbol
_atom_site_fract_x
_atom_site_fract_y
_atom_site_fract_z
I1 I 0.2500 0.2500 0.2500
I2 I 0.7500 0.7500 0.7500
Co1 Co 0.0000 0.0000 0.0000
Mo1 Mo 0.5000 0.5000 0.5000
```

## Properties
For the energy above the lowest structure with this stoichiometry, the calculation gives 10.1 kJ/mol of atoms.

=====

# 5
This record from the Alexandria database describes CoMo2I after structural relaxation. The functional is GGA-PBE.

```
data_CoMo2I
_chemical_formula_sum 'Co1 Mo2 I1'
_cell_length_a 4.4681
_cell_length_b 4.4681
_cell_length_c 4.4681
_cell_angle_alpha 60.00
_cell_angle_beta 60.00
_cell_angle_gamma 60.00
_space_group_name_H-M_alt 'P 1'
_space_group_IT_number 1
loop_
_space_group_symop_operation_xyz
'x,y,z'
loop_
_atom_site_label
_atom_site_type_symbol
_atom_site_fract_x
_atom_site_fract_y
_atom_site_fract_z
Mo1 Mo 0.7500 0.7500 0.7500
Mo2 Mo 0.2500 0.2500 0.2500
Co1 Co 0.0000 0.0000 0.0000
I1 I 0.5000 0.5000 0.5000
```

## Properties
For the energy above the lowest structure with this stoichiometry, the calculation gives 0.0 kJ/mol of atoms.

=====

# 6
This record from the Alexandria database describes CoMoI2 after structural relaxation. The functional is GGA-PBE.

```
data_CoMoI2
_chemical_formula_sum 'Co2 Mo2 I4'
_cell_length_a 5.9261
_cell_length_b 5.9261
_cell_length_c 7.2417
_cell_angle_alpha 65.85
_cell_angle_beta 65.85
_cell_angle_gamma 90.00
_space_group_name_H-M_alt 'P 1'
_space_group_IT_number 1
loop_
_space_group_symop_operation_xyz
'x,y,z'
loop_
_atom_site_label
_atom_site_type_symbol
_atom_site_fract_x
_atom_site_fract_y
_atom_site_fract_z
Mo1 Mo 0.0000 0.0000 0.0000
Mo2 Mo 0.7500 0.2500 0.5000
Co1 Co 0.2500 0.7500 0.5000
Co2 Co 0.5000 0.5000 0.0000
I1 I 0.1477 0.6250 0.2500
I2 I 0.6023 0.1250 0.2500
I3 I 0.3750 0.3977 0.7500
I4 I 0.8750 0.8523 0.7500
```

## Properties
For the energy above the lowest structure with this stoichiometry, the calculation gives 0.0 kJ/mol of atoms.

=====

# 7
This record from the Alexandria database describes CoMo2I after structural relaxation. The functional is GGA-PBE.

```
data_CoMo2I
_chemical_formula_sum 'Co2 Mo4 I2'
_cell_length_a 5.5629
_cell_length_b 5.5629
_cell_length_c 7.0552
_cell_angle_alpha 66.78
_cell_angle_beta 66.78
_cell_angle_gamma 90.00
_space_group_name_H-M_alt 'P 1'
_space_group_IT_number 1
loop_
_space_group_symop_operation_xyz
'x,y,z'
loop_
_atom_site_label
_atom_site_type_symbol
_atom_site_fract_x
_atom_site_fract_y
_atom_site_fract_z
Mo1 Mo 0.1955 0.6250 0.2500
Mo2 Mo 0.5545 0.1250 0.2500
Mo3 Mo 0.3750 0.4455 0.7500
Mo4 Mo 0.8750 0.8045 0.7500
Co1 Co 0.2500 0.7500 0.5000
Co2 Co 0.5000 0.5000 0.0000
I1 I 0.0000 0.0000 0.0000
I2 I 0.7500 0.2500 0.5000
```

## Properties
For the energy above the lowest structure with this stoichiometry, the calculation gives 36.4 kJ/mol of atoms.

=====

# 8
This record from the Alexandria database describes Co2MoI after structural relaxation. The functional is GGA-PBE.

```
data_Co2MoI
_chemical_formula_sum 'Co4 Mo2 I2'
_cell_length_a 5.9330
_cell_length_b 5.9330
_cell_length_c 6.2360
_cell_angle_alpha 61.59
_cell_angle_beta 61.59
_cell_angle_gamma 90.00
_space_group_name_H-M_alt 'P 1'
_space_group_IT_number 1
loop_
_space_group_symop_operation_xyz
'x,y,z'
loop_
_atom_site_label
_atom_site_type_symbol
_atom_site_fract_x
_atom_site_fract_y
_atom_site_fract_z
I1 I 0.7500 0.2500 0.5000
I2 I 0.0000 0.0000 0.0000
Co1 Co 0.1535 0.6250 0.2500
Co2 Co 0.3750 0.4035 0.7500
Co3 Co 0.5965 0.1250 0.2500
Co4 Co 0.8750 0.8465 0.7500
Mo1 Mo 0.2500 0.7500 0.5000
Mo2 Mo 0.5000 0.5000 0.0000
```

=====

# 9
This record from the Alexandria database describes CoMoI2N after structural relaxation. The functional is GGA-PBE.

```
data_CoMoI2N
_chemical_formula_sum 'Co1 Mo1 I2 N1'
_cell_length_a 5.5710
_cell_length_b 5.5710
_cell_length_c 3.8084
_cell_angle_alpha 90.00
_cell_angle_beta 90.00
_cell_angle_gamma 90.00
_space_group_name_H-M_alt 'P 1'
_space_group_IT_number 1
loop_
_space_group_symop_operation_xyz
'x,y,z'
loop_
_atom_site_label
_atom_site_type_symbol
_atom_site_fract_x
_atom_site_fract_y
_atom_site_fract_z
I1 I 0.0000 0.5000 0.0000
I2 I 0.5000 0.0000 0.0000
Co1 Co 0.5000 0.5000 0.5000
N1 N 0.0000 0.0000 0.5000
Mo1 Mo 0.0000 0.0000 0.0000
```

## Properties
For the energy above the lowest structure with this stoichiometry, the calculation gives 0.0 kJ/mol of atoms.

=====

# 10
This record from the Alexandria database describes CoMoI2N after structural relaxation. The functional is GGA-PBE.

```
data_CoMoI2N
_chemical_formula_sum 'Co1 Mo1 I2 N1'
_cell_length_a 5.4047
_cell_length_b 5.4047
_cell_length_c 3.4690
_cell_angle_alpha 90.00
_cell_angle_beta 90.00
_cell_angle_gamma 90.00
_space_group_name_H-M_alt 'P 1'
_space_group_IT_number 1
loop_
_space_group_symop_operation_xyz
'x,y,z'
loop_
_atom_site_label
_atom_site_type_symbol
_atom_site_fract_x
_atom_site_fract_y
_atom_site_fract_z
Co1 Co 0.0000 0.0000 0.0000
Mo1 Mo 0.5000 0.5000 0.5000
I1 I 0.5000 0.0000 0.0000
I2 I 0.0000 0.5000 0.0000
N1 N 0.0000 0.0000 0.5000
```

## Properties
For the energy above the lowest structure with this stoichiometry, the calculation gives 13.8 kJ/mol of atoms.

=====

# 11
This record from the Alexandria database describes CoMoIN2 after structural relaxation. The functional is GGA-PBE.

```
data_CoMoIN2
_chemical_formula_sum 'Co1 Mo1 I1 N2'
_cell_length_a 3.8913
_cell_length_b 3.8913
_cell_length_c 5.8960
_cell_angle_alpha 90.00
_cell_angle_beta 90.00
_cell_angle_gamma 90.00
_space_group_name_H-M_alt 'P 1'
_space_group_IT_number 1
loop_
_space_group_symop_operation_xyz
'x,y,z'
loop_
_atom_site_label
_atom_site_type_symbol
_atom_site_fract_x
_atom_site_fract_y
_atom_site_fract_z
Co1 Co 0.5000 0.5000 0.5000
Mo1 Mo 0.0000 0.0000 0.0000
N1 N 0.5000 0.0000 0.0000
N2 N 0.0000 0.5000 0.0000
I1 I 0.0000 0.0000 0.5000
```

## Properties
For the energy above the lowest structure with this stoichiometry, the calculation gives 0.0 kJ/mol of atoms.

=====

# 12
This record from the Alexandria database describes CoMoIN2 after structural relaxation. The functional is GGA-PBE.

```
data_CoMoIN2
_chemical_formula_sum 'Co1 Mo1 I1 N2'
_cell_length_a 3.8652
_cell_length_b 3.8652
_cell_length_c 5.2081
_cell_angle_alpha 90.00
_cell_angle_beta 90.00
_cell_angle_gamma 90.00
_space_group_name_H-M_alt 'P 1'
_space_group_IT_number 1
loop_
_space_group_symop_operation_xyz
'x,y,z'
loop_
_atom_site_label
_atom_site_type_symbol
_atom_site_fract_x
_atom_site_fract_y
_atom_site_fract_z
Mo1 Mo 0.5000 0.5000 0.5000
N1 N 0.0000 0.5000 0.0000
N2 N 0.5000 0.0000 0.0000
Co1 Co 0.0000 0.0000 0.0000
I1 I 0.0000 0.0000 0.5000
```

## Properties
For the energy above the lowest structure with this stoichiometry, the calculation gives 73.5 kJ/mol of atoms.

=====

Across the entries above, uncorrected formation energy takes the values 0.712, 1.394, 0.820, 1.027, 0.846, 0.922, 1.223, 0.999, 0.814, 0.956, 0.881, 1.643 eV/atom, respectively.